# LaAl2W | the Alexandria database | PBE | optimized geometry
# - DOS at the Fermi energy: 3.93 states/eV/f.u.
# - Crystal system: orthorhombic
# - Space group: Imm2, No. 44
# - DFT formation energy: 408 meV per atom
# - Total moment: 0.00 Bohr magnetons per cell
# - Total DFT energy (no corrections): -5.933 eV per atom
data_LaAl2W
_chemical_formula_sum 'La1 Al2 W1'
_space_group_name_H-M_alt 'P 1'
_space_group_IT_number 1
_space_group_name_Hall 'P 1'
_cell_length_a 5.470
_cell_length_b 5.470
_cell_length_c 5.470
_cell_angle_alpha 139.45
_cell_angle_beta 128.43
_cell_angle_gamma 67.58
loop_
_atom_site_label
_atom_site_type_symbol
_atom_site_fract_x
_atom_site_fract_y
_atom_site_fract_z
La1 La 0.000 0.000 0.000
Al1 Al 0.493 0.493 0.000
Al2 Al 0.728 0.228 0.500
W1 W 0.265 0.765 0.500